(1)
Nd8Y3Tm: optimized geometry, GGA-PBE.

## Properties
* space-group type: I-42m, No. 121
* density of states at the Fermi level: 20.3 states/eV per cell

a b c (Å): 8.5210 8.5210 8.5210
angles (deg): 117.72 117.72 94.00
With the nearest neighbours (Å) after each atom.
Atoms (fractional coordinates):
Nd  0.1225  0.1225  0.7506  3 Nd 3.11-3.32, 1 Tm 3.27, 1 Y 3.32
Nd  0.2402  0.2402  0.4937  1 Tm 3.08, 1 Y 3.16, 2 Nd 3.28-3.32
Nd  0.2535  0.7598  0.0000  1 Tm 3.08, 1 Y 3.16, 2 Nd 3.28-3.32
Nd  0.3719  0.3719  0.2494  3 Nd 3.11-3.32, 1 Tm 3.27, 1 Y 3.32
Nd  0.6281  0.8775  0.0000  3 Nd 3.11-3.32, 1 Tm 3.27, 1 Y 3.32
Nd  0.7465  0.7465  0.5063  1 Tm 3.08, 1 Y 3.16, 2 Nd 3.28-3.32
Nd  0.7598  0.2535  0.0000  1 Tm 3.08, 1 Y 3.16, 2 Nd 3.28-3.32
Nd  0.8775  0.6281  0.0000  3 Nd 3.11-3.32, 1 Tm 3.27, 1 Y 3.32
Y  0.2500  0.7500  0.5000  4 Nd 3.49
Y  0.5000  0.5000  0.0000  8 Nd 3.16-3.32
Y  0.7500  0.2500  0.5000  4 Nd 3.49
Tm  0.0000  0.0000  0.0000  8 Nd 3.08-3.27

(2)
Nd5Y6Tm: optimized geometry, GGA-PBE.

## Properties
* space-group type: C2/m, No. 12
* density of states at the Fermi level: 15.2 states/eV per cell

a b c (Å): 6.2583 6.2583 11.9031
angles (deg): 95.01 95.01 119.98
With the nearest neighbours (Å) after each atom.
Atoms (fractional coordinates):
Nd  0.0000  0.0000  0.0000  6 Y 3.61, 6 Nd 3.61
Nd  0.1664  0.8336  0.5000  6 Y 3.58-3.59, 3 Nd 3.61-3.62, 3 Tm 3.61-3.62
Nd  0.3332  0.6668  0.0000  6 Y 3.61, 6 Nd 3.61-3.62
Nd  0.6668  0.3332  0.0000  6 Y 3.61, 6 Nd 3.61-3.62
Nd  0.8336  0.1664  0.5000  6 Y 3.58-3.59, 3 Nd 3.61-3.62, 3 Tm 3.61-3.62
Y  0.0851  0.4177  0.2515  1 Tm 3.58, 5 Nd 3.58-3.61, 6 Y 3.60-3.62
Y  0.2499  0.2499  0.7489  1 Tm 3.58, 5 Nd 3.59-3.61, 6 Y 3.61-3.62
Y  0.4177  0.0851  0.2515  1 Tm 3.58, 5 Nd 3.58-3.61, 6 Y 3.60-3.62
Y  0.5823  0.9149  0.7485  1 Tm 3.58, 5 Nd 3.58-3.61, 6 Y 3.60-3.62
Y  0.7501  0.7501  0.2511  1 Tm 3.58, 5 Nd 3.59-3.61, 6 Y 3.61-3.62
Y  0.9149  0.5823  0.7485  1 Tm 3.58, 5 Nd 3.58-3.61, 6 Y 3.60-3.62
Tm  0.5000  0.5000  0.5000  6 Y 3.58, 6 Nd 3.61-3.62

(3)
NdY4Tm3: optimized geometry, GGA-PBE.

## Properties
* space-group type: Pmn2_1, No. 31
* density of states at the Fermi level: 27.1 states/eV per cell

a b c (Å): 11.2659 7.2740 6.2768
angles (deg): 90.00 90.00 90.00
With the nearest neighbours (Å) after each atom.
Atoms (fractional coordinates):
Nd  0.0000  0.1236  0.0000  6 Tm 3.50-3.62, 6 Y 3.53-3.66
Nd  0.5000  0.8764  0.5000  6 Tm 3.50-3.62, 6 Y 3.53-3.66
Y  0.0000  0.3738  0.4978  6 Y 3.50-3.65, 4 Tm 3.51-3.65, 2 Nd 3.62-3.64
Y  0.0000  0.6270  0.9958  4 Tm 3.51-3.65, 6 Y 3.51-3.65, 2 Nd 3.61-3.66
Y  0.2480  0.6262  0.3341  5 Tm 3.49-3.66, 6 Y 3.50-3.64, 1 Nd 3.53
Y  0.2520  0.3738  0.8341  5 Tm 3.49-3.66, 6 Y 3.50-3.64, 1 Nd 3.53
Y  0.5000  0.3730  0.4958  4 Tm 3.51-3.65, 6 Y 3.51-3.65, 2 Nd 3.61-3.66
Y  0.5000  0.6262  0.9978  6 Y 3.50-3.65, 4 Tm 3.51-3.65, 2 Nd 3.62-3.64
Y  0.7480  0.3738  0.8341  5 Tm 3.49-3.66, 6 Y 3.50-3.64, 1 Nd 3.53
Y  0.7520  0.6262  0.3341  5 Tm 3.49-3.66, 6 Y 3.50-3.64, 1 Nd 3.53
Tm  0.0000  0.8762  0.4998  6 Y 3.49-3.65, 4 Tm 3.50-3.51, 2 Nd 3.62
Tm  0.2499  0.1237  0.3309  2 Nd 3.50-3.51, 4 Tm 3.50-3.62, 6 Y 3.51-3.66
Tm  0.2501  0.8763  0.8309  2 Nd 3.50-3.51, 4 Tm 3.50-3.62, 6 Y 3.51-3.66
Tm  0.5000  0.1238  0.9998  6 Y 3.49-3.65, 4 Tm 3.50-3.51, 2 Nd 3.62
Tm  0.7501  0.1237  0.3309  2 Nd 3.50-3.51, 4 Tm 3.50-3.62, 6 Y 3.51-3.66
Tm  0.7499  0.8763  0.8309  2 Nd 3.50-3.51, 4 Tm 3.50-3.62, 6 Y 3.51-3.66

(4)
Nd2YTm8: optimized geometry, GGA-PBE.

## Properties
* space-group type: C2/m, No. 12
* density of states at the Fermi level: 16.7 states/eV per cell

a b c (Å): 8.8510 8.8510 6.6068
angles (deg): 99.32 99.32 43.52
With the nearest neighbours (Å) after each atom.
Atoms (fractional coordinates):
Nd  0.2449  0.2449  0.3120  9 Tm 3.26-3.52
Nd  0.7551  0.7551  0.6880  9 Tm 3.26-3.52
Y  0.0000  0.0000  0.0000  4 Tm 3.27
Tm  0.1743  0.6526  0.5976  4 Tm 3.14-3.42, 2 Nd 3.26-3.45, 1 Y 3.27
Tm  0.2003  0.2003  0.8033  4 Nd 3.31-3.52, 3 Tm 3.42-3.67
Tm  0.3474  0.8257  0.4024  4 Tm 3.14-3.42, 2 Nd 3.26-3.45, 1 Y 3.27
Tm  0.4118  0.4118  0.0956  1 Nd 3.31, 8 Tm 3.36-3.67, 2 Y 3.69
Tm  0.5882  0.5882  0.9044  1 Nd 3.31, 8 Tm 3.36-3.67, 2 Y 3.69
Tm  0.6526  0.1743  0.5976  4 Tm 3.14-3.42, 2 Nd 3.26-3.45, 1 Y 3.27
Tm  0.7997  0.7997  0.1967  4 Nd 3.31-3.52, 3 Tm 3.42-3.67
Tm  0.8257  0.3474  0.4024  4 Tm 3.14-3.42, 2 Nd 3.26-3.45, 1 Y 3.27

(5)
Nd8YTm2: optimized geometry, GGA-PBE.

## Properties
* space-group type: C2/m, No. 12
* density of states at the Fermi level: 14.7 states/eV per cell

a b c (Å): 9.4875 9.4875 6.0062
angles (deg): 105.68 105.68 122.12
With the nearest neighbours (Å) after each atom.
Atoms (fractional coordinates):
Nd  0.0976  0.3362  0.6818  4 Nd 3.28-3.64, 2 Tm 3.53-3.58
Nd  0.2062  0.7938  0.0000  1 Y 3.42, 2 Tm 3.47, 6 Nd 3.64-3.74
Nd  0.3362  0.0976  0.6818  4 Nd 3.28-3.64, 2 Tm 3.53-3.58
Nd  0.4245  0.4245  0.2045  3 Nd 3.00-3.28
Nd  0.5755  0.5755  0.7955  3 Nd 3.00-3.28
Nd  0.6638  0.9024  0.3182  4 Nd 3.28-3.64, 2 Tm 3.53-3.58
Nd  0.7938  0.2062  0.0000  1 Y 3.42, 2 Tm 3.47, 6 Nd 3.64-3.74
Nd  0.9024  0.6638  0.3182  4 Nd 3.28-3.64, 2 Tm 3.53-3.58
Y  0.0000  0.0000  0.0000  4 Nd 3.37-3.42
Tm  0.3109  0.6891  0.5000  10 Nd 3.47-3.84
Tm  0.6891  0.3109  0.5000  10 Nd 3.47-3.84

(6)
Nd12Y2Tm5: optimized geometry, GGA-PBE.

## Properties
* space-group type: C2/m, No. 12
* density of states at the Fermi level: 26.8 states/eV per cell

a b c (Å): 9.2433 9.2433 8.7235
angles (deg): 91.18 91.18 60.50
With the nearest neighbours (Å) after each atom.
Atoms (fractional coordinates):
Nd  0.0634  0.0634  0.3421  2 Tm 3.37-3.57, 7 Nd 3.43-3.55, 2 Y 3.52
Nd  0.0686  0.6773  0.3263  4 Tm 3.42-3.78, 5 Nd 3.45-3.64, 1 Y 3.54
Nd  0.1638  0.5284  0.7622  4 Nd 3.40-3.66, 1 Y 3.45, 4 Tm 3.54-3.80
Nd  0.3227  0.9314  0.6737  4 Tm 3.42-3.78, 5 Nd 3.45-3.64, 1 Y 3.54
Nd  0.4130  0.4130  0.1158  5 Nd 3.45-3.66, 3 Tm 3.48-3.62, 2 Y 3.51
Nd  0.4716  0.8362  0.2378  4 Nd 3.40-3.66, 1 Y 3.45, 4 Tm 3.54-3.80
Nd  0.5284  0.1638  0.7622  4 Nd 3.40-3.66, 1 Y 3.45, 4 Tm 3.54-3.80
Nd  0.5870  0.5870  0.8842  5 Nd 3.45-3.66, 3 Tm 3.48-3.62, 2 Y 3.51
Nd  0.6773  0.0686  0.3263  4 Tm 3.42-3.78, 5 Nd 3.45-3.64, 1 Y 3.54
Nd  0.8362  0.4716  0.2378  4 Nd 3.40-3.66, 1 Y 3.45, 4 Tm 3.54-3.80
Nd  0.9314  0.3227  0.6737  4 Tm 3.42-3.78, 5 Nd 3.45-3.64, 1 Y 3.54
Nd  0.9366  0.9366  0.6579  2 Tm 3.37-3.57, 7 Nd 3.43-3.55, 2 Y 3.52
Y  0.1724  0.8276  0.0000  1 Y 3.21, 8 Nd 3.45-3.54, 2 Tm 3.58
Y  0.8276  0.1724  0.0000  1 Y 3.21, 8 Nd 3.45-3.54, 2 Tm 3.58
Tm  0.2000  0.2000  0.0242  8 Nd 3.48-3.72, 2 Y 3.58, 1 Tm 3.69
Tm  0.2696  0.2696  0.4312  8 Nd 3.37-3.63, 2 Tm 3.69-3.71
Tm  0.5000  0.5000  0.5000  10 Nd 3.60-3.80, 2 Tm 3.71
Tm  0.7304  0.7304  0.5688  8 Nd 3.37-3.63, 2 Tm 3.69-3.71
Tm  0.8000  0.8000  0.9758  8 Nd 3.48-3.72, 2 Y 3.58, 1 Tm 3.69

no.,E (eV/cell),energy of formation (eV per atom)
1,-54.99,0.585
2,-66.95,0.012
3,-88.02,0.004
4,-49.83,0.176
5,-52.07,0.134
6,-90.15,0.123